Entry 1:
## TaCdBr2 (PBE-GGA)

Data for a relaxed TaCdBr2 crystal.

a = 6.399 Å, b = 9.562 Å, c = 3.219 Å
α = 90.00°, β = 113.62°, γ = 90.00°
Space group C2/m (No. 12)
Asymmetric unit:
Ta: 0.000 0.000 0.000 [2 per cell]
Cd: 0.000 0.500 0.000 [2 per cell]
Br: 0.250 0.250 0.000 [4 per cell]

Computed properties:
**ΔE_f (raw)**: 0.4785 eV per atom
**Crystal system**: monoclinic
**Energy above the lowest structure with this stoichiometry**: 0.6880 eV per atom
**V**: 180.5 Å³/cell
**Uncorrected energy**: -28.4 eV/cell

Entry 2:
## TaCdBr2 (PBE-GGA)

Data for a relaxed TaCdBr2 crystal.

a = 3.305 Å, b = 4.528 Å, c = 6.280 Å
α = 90.00°, β = 100.04°, γ = 90.00°
Space group P2/m (No. 10)
Asymmetric unit:
Ta: 0.000 0.000 0.000 [1 per cell]
Cd: 0.500 0.000 0.500 [1 per cell]
Br: 0.086 0.500 0.774 [2 per cell]

Computed properties:
**ΔE_f (raw)**: 0.2291 eV per atom
**Crystal system**: monoclinic
**Energy above the lowest structure with this stoichiometry**: 0.4386 eV per atom
**V**: 92.5 Å³/cell
**Uncorrected energy**: -15.2 eV/cell

Entry 3:
## TaCdBr2 (PBE-GGA)

Data for a relaxed TaCdBr2 crystal.

a = 9.126 Å, b = 9.126 Å, c = 5.875 Å
α = 90.00°, β = 90.00°, γ = 90.00°
Space group I-42d (No. 122)
Asymmetric unit:
Ta: 0.000 0.000 0.000 [4 per cell]
Cd: 0.000 0.000 0.500 [4 per cell]
Br: 0.118 0.250 0.125 [8 per cell]

Computed properties:
**ΔE_f (raw)**: 0.1550 eV per atom
**Crystal system**: tetragonal
**Energy above the lowest structure with this stoichiometry**: 0.3645 eV per atom
**V**: 489.3 Å³/cell
**Uncorrected energy**: -62.0 eV/cell

Entry 4:
## TaCdBr2 (PBE-GGA)

Data for a relaxed TaCdBr2 crystal.

a = 3.191 Å, b = 3.191 Å, c = 10.082 Å
α = 90.00°, β = 90.00°, γ = 90.00°
Space group P4/mmm (No. 123)
Asymmetric unit:
Ta: 0.000 0.000 0.000 [1 per cell]
Cd: 0.000 0.000 0.500 [1 per cell]
Br: 0.500 0.500 0.162 [2 per cell]

Computed properties:
**ΔE_f (raw)**: 0.0556 eV per atom
**Crystal system**: tetragonal
**Energy above the lowest structure with this stoichiometry**: 0.2651 eV per atom
**V**: 102.7 Å³/cell
**Uncorrected energy**: -15.9 eV/cell

Entry 5:
## Ta2CdBr (PBE-GGA)

Data for a relaxed Ta2CdBr crystal.

a = 3.0501 Å, b = 3.0501 Å, c = 28.4361 Å
α = 90.00°, β = 90.00°, γ = 120.00°
Space group R-3m (No. 166, hexagonal axes)
Asymmetric unit:
Ta: 0.0000 0.0000 0.2450 [6 per cell]
Cd: 0.0000 0.0000 0.0000 [3 per cell]
Br: 0.0000 0.0000 0.5000 [3 per cell]

Computed properties:
**ΔE_f (raw)**: 0.4336 eV per atom
**Crystal system**: trigonal
**Energy above the lowest structure with this stoichiometry**: 0.2878 eV per atom
**V**: 229.1 Å³/cell
**Uncorrected energy**: -73.7 eV/cell

Entry 6:
## Ta2CdBr (PBE-GGA)

Data for a relaxed Ta2CdBr crystal.

a = 4.835 Å, b = 3.005 Å, c = 11.217 Å
α = 90.00°, β = 90.00°, γ = 90.00°
Space group Amm2 (No. 38)
Asymmetric unit:
Ta: 0.000 0.000 0.000 [2 per cell]
Ta: 0.500 0.000 0.396 [2 per cell]
Cd: 0.000 0.000 0.745 [2 per cell]
Br: 0.500 0.000 0.091 [2 per cell]

Computed properties:
**ΔE_f (raw)**: 0.4946 eV per atom
**Crystal system**: orthorhombic
**Energy above the lowest structure with this stoichiometry**: 0.3488 eV per atom
**V**: 163.0 Å³/cell
**Uncorrected energy**: -48.6 eV/cell

Entry 7:
## Ta2CdBr (PBE-GGA)

Data for a relaxed Ta2CdBr crystal.

a = 3.047 Å, b = 5.317 Å, c = 9.861 Å
α = 90.00°, β = 90.00°, γ = 90.00°
Space group Cmmm (No. 65)
Asymmetric unit:
Ta: 0.000 0.000 0.241 [4 per cell]
Cd: 0.000 0.500 0.500 [2 per cell]
Br: 0.000 0.500 0.000 [2 per cell]

Computed properties:
**ΔE_f (raw)**: 0.5956 eV per atom
**Crystal system**: orthorhombic
**Energy above the lowest structure with this stoichiometry**: 0.4498 eV per atom
**V**: 159.8 Å³/cell
**Uncorrected energy**: -47.8 eV/cell

Entry 8:
## TaCdBr (PBE-GGA)

Data for a relaxed TaCdBr crystal.

a = 6.584 Å, b = 6.584 Å, c = 6.584 Å
α = 90.00°, β = 90.00°, γ = 90.00°
Space group F-43m (No. 216)
Asymmetric unit:
Ta: 0.000 0.000 0.000 [4 per cell]
Cd: 0.250 0.250 0.750 [4 per cell]
Br: 0.250 0.250 0.250 [4 per cell]

Computed properties:
**ΔE_f (raw)**: 1.0888 eV per atom
**Crystal system**: cubic
**Energy above the lowest structure with this stoichiometry**: 1.0591 eV per atom
**V**: 285.5 Å³/cell
**Uncorrected energy**: -44.7 eV/cell

Entry 9:
## Ta2CdBr (PBE-GGA)

Data for a relaxed Ta2CdBr crystal.

a = 5.768 Å, b = 9.197 Å, c = 2.980 Å
α = 90.00°, β = 90.00°, γ = 90.00°
Space group Cmmm (No. 65)
Asymmetric unit:
Ta: 0.250 0.250 0.000 [4 per cell]
Cd: 0.000 0.000 0.500 [2 per cell]
Br: 0.000 0.500 0.500 [2 per cell]

Computed properties:
**ΔE_f (raw)**: 0.8172 eV per atom
**Crystal system**: orthorhombic
**Energy above the lowest structure with this stoichiometry**: 0.6714 eV per atom
**V**: 158.1 Å³/cell
**Uncorrected energy**: -46.0 eV/cell

Entry 10:
## Ta2CdBr (PBE-GGA)

Data for a relaxed Ta2CdBr crystal.

a = 3.071 Å, b = 5.095 Å, c = 5.184 Å
α = 90.00°, β = 90.00°, γ = 90.00°
Space group Pmmm (No. 47)
Asymmetric unit:
Ta: 0.000 0.000 0.000 [1 per cell]
Ta: 0.500 0.000 0.500 [1 per cell]
Cd: 0.000 0.500 0.500 [1 per cell]
Br: 0.500 0.500 0.000 [1 per cell]

Computed properties:
**ΔE_f (raw)**: 0.6797 eV per atom
**Crystal system**: orthorhombic
**Energy above the lowest structure with this stoichiometry**: 0.5339 eV per atom
**V**: 81.1 Å³/cell
**Uncorrected energy**: -23.6 eV/cell

Entry 11:
## TaCdBr2 (PBE-GGA)

Data for a relaxed TaCdBr2 crystal.

a = 4.635 Å, b = 4.635 Å, c = 7.888 Å
α = 90.00°, β = 90.00°, γ = 90.00°
Space group I4/mmm (No. 139)
Asymmetric unit:
Ta: 0.000 0.000 0.000 [2 per cell]
Cd: 0.000 0.000 0.500 [2 per cell]
Br: 0.000 0.500 0.250 [4 per cell]

Computed properties:
**ΔE_f (raw)**: 0.6526 eV per atom
**Crystal system**: tetragonal
**Energy above the lowest structure with this stoichiometry**: 0.8621 eV per atom
**V**: 169.4 Å³/cell
**Uncorrected energy**: -27.0 eV/cell

Entry 12:
## TaCdBr (PBE-GGA)

Data for a relaxed TaCdBr crystal.

a = 6.490 Å, b = 6.490 Å, c = 6.490 Å
α = 90.00°, β = 90.00°, γ = 90.00°
Space group F-43m (No. 216)
Asymmetric unit:
Ta: 0.000 0.000 0.000 [4 per cell]
Cd: 0.000 0.000 0.500 [4 per cell]
Br: 0.250 0.250 0.750 [4 per cell]

Computed properties:
**ΔE_f (raw)**: 1.2935 eV per atom
**Crystal system**: cubic
**Energy above the lowest structure with this stoichiometry**: 1.2638 eV per atom
**V**: 273.3 Å³/cell
**Uncorrected energy**: -42.2 eV/cell

Entry 13:
## Ta2CdBr (PBE-GGA)

Data for a relaxed Ta2CdBr crystal.

a = 4.054 Å, b = 4.054 Å, c = 20.802 Å
α = 90.00°, β = 90.00°, γ = 90.00°
Space group I-42d (No. 122)
Asymmetric unit:
Ta: 0.239 0.250 0.125 [8 per cell]
Cd: 0.000 0.000 0.000 [4 per cell]
Br: 0.000 0.000 0.500 [4 per cell]

Computed properties:
**ΔE_f (raw)**: 0.8037 eV per atom
**Crystal system**: tetragonal
**Energy above the lowest structure with this stoichiometry**: 0.6579 eV per atom
**V**: 341.8 Å³/cell
**Uncorrected energy**: -92.3 eV/cell

Entry 14:
## TaCd4Br (PBE-GGA)

Data for a relaxed TaCd4Br crystal.

a = 8.203 Å, b = 8.203 Å, c = 8.203 Å
α = 90.00°, β = 90.00°, γ = 90.00°
Space group F-43m (No. 216)
Asymmetric unit:
Ta: 0.000 0.000 0.000 [4 per cell]
Cd: 0.126 0.126 0.374 [16 per cell]
Br: 0.250 0.250 0.750 [4 per cell]

Computed properties:
**ΔE_f (raw)**: 0.5990 eV per atom
**Crystal system**: cubic
**V**: 551.9 Å³/cell
**Uncorrected energy**: -54.4 eV/cell

Entry 15:
## TaCdBr (PBE-GGA)

Data for a relaxed TaCdBr crystal.

a = 4.7613 Å, b = 4.7613 Å, c = 3.1099 Å
α = 90.00°, β = 90.00°, γ = 120.00°
Space group P-6m2 (No. 187)
Asymmetric unit:
Ta: 0.0000 0.0000 0.0000 [1 per cell]
Cd: 0.3333 0.6667 0.5000 [1 per cell]
Br: 0.6667 0.3333 0.0000 [1 per cell]

Computed properties:
**ΔE_f (raw)**: 0.5636 eV per atom
**Crystal system**: hexagonal
**Energy above the lowest structure with this stoichiometry**: 0.5339 eV per atom
**V**: 61.1 Å³/cell
**Uncorrected energy**: -12.7 eV/cell

Entry 16:
## TaCdBr2 (PBE-GGA)

Data for a relaxed TaCdBr2 crystal.

a = 6.943 Å, b = 6.943 Å, c = 6.943 Å
α = 90.00°, β = 90.00°, γ = 90.00°
Space group Fm-3m (No. 225)
Asymmetric unit:
Ta: 0.000 0.000 0.000 [4 per cell]
Cd: 0.000 0.000 0.500 [4 per cell]
Br: 0.250 0.250 0.250 [8 per cell]

Computed properties:
**ΔE_f (raw)**: 0.6533 eV per atom
**Crystal system**: cubic
**Energy above the lowest structure with this stoichiometry**: 0.8629 eV per atom
**V**: 334.7 Å³/cell
**Uncorrected energy**: -54.0 eV/cell

Entry 17:
## TaCdBr (PBE-GGA)

Data for a relaxed TaCdBr crystal.

a = 3.133 Å, b = 3.133 Å, c = 14.154 Å
α = 90.00°, β = 90.00°, γ = 90.00°
Space group I4mm (No. 107)
Asymmetric unit:
Ta: 0.000 0.000 0.000 [2 per cell]
Cd: 0.000 0.000 0.361 [2 per cell]
Br: 0.000 0.000 0.621 [2 per cell]

Computed properties:
**ΔE_f (raw)**: 0.2338 eV per atom
**Crystal system**: tetragonal
**Energy above the lowest structure with this stoichiometry**: 0.2041 eV per atom
**V**: 138.9 Å³/cell
**Uncorrected energy**: -27.5 eV/cell

Entry 18:
## TaCdBr (PBE-GGA)

Data for a relaxed TaCdBr crystal.

a = 3.301 Å, b = 5.320 Å, c = 16.967 Å
α = 90.00°, β = 90.00°, γ = 90.00°
Space group Fmm2 (No. 42)
Asymmetric unit:
Ta: 0.000 0.000 0.000 [4 per cell]
Cd: 0.000 0.000 0.644 [4 per cell]
Br: 0.000 0.000 0.379 [4 per cell]

Computed properties:
**ΔE_f (raw)**: 0.2785 eV per atom
**Crystal system**: orthorhombic
**Energy above the lowest structure with this stoichiometry**: 0.2488 eV per atom
**V**: 297.9 Å³/cell
**Uncorrected energy**: -54.4 eV/cell

Entry 19:
## TaCdBr2 (PBE-GGA)

Data for a relaxed TaCdBr2 crystal.

a = 3.3773 Å, b = 3.3773 Å, c = 33.4059 Å
α = 90.00°, β = 90.00°, γ = 120.00°
Space group R-3m (No. 166, hexagonal axes)
Asymmetric unit:
Ta: 0.0000 0.0000 0.0000 [3 per cell]
Cd: 0.0000 0.0000 0.5000 [3 per cell]
Br: 0.0000 0.0000 0.0727 [6 per cell]

Computed properties:
**ΔE_f (raw)**: 0.0997 eV per atom
**Crystal system**: trigonal
**Energy above the lowest structure with this stoichiometry**: 0.3093 eV per atom
**V**: 330.0 Å³/cell
**Uncorrected energy**: -47.1 eV/cell

Entry 20:
## Ta2CdBr (PBE-GGA)

Data for a relaxed Ta2CdBr crystal.

a = 6.863 Å, b = 6.863 Å, c = 6.863 Å
α = 90.00°, β = 90.00°, γ = 90.00°
Space group F-43m (No. 216)
Asymmetric unit:
Ta: 0.000 0.000 0.000 [4 per cell]
Ta: 0.250 0.250 0.250 [4 per cell]
Cd: 0.250 0.250 0.750 [4 per cell]
Br: 0.000 0.000 0.500 [4 per cell]

Computed properties:
**ΔE_f (raw)**: 1.0006 eV per atom
**Crystal system**: cubic
**Energy above the lowest structure with this stoichiometry**: 0.8549 eV per atom
**V**: 323.3 Å³/cell
**Uncorrected energy**: -89.2 eV/cell